Run 1
PmErRu | GGA-PBE | relaxed

abc: 3.5206 15.9662 5.2804
angles: 90.00 90.00 90.00
Fractional positions:
1 Pm 0.0000 0.0721 0.2500
2 Pm 0.0000 0.9279 0.7500
3 Pm 0.5000 0.4279 0.7500
4 Pm 0.5000 0.5721 0.2500
5 Er 0.0000 0.2109 0.7500
6 Er 0.0000 0.7891 0.2500
7 Er 0.5000 0.2891 0.2500
8 Er 0.5000 0.7109 0.7500
9 Ru 0.0000 0.4229 0.2500
10 Ru 0.0000 0.5771 0.7500
11 Ru 0.5000 0.0771 0.7500
12 Ru 0.5000 0.9229 0.2500

V in A^3/atom: 24.73
Space-group type: Cmcm (63)



Run 2
PmErRu | GGA-PBE | relaxed

abc: 3.4263 6.8413 7.0436
angles: 104.36 104.03 90.03
Fractional positions:
1 Pm 0.1298 0.0673 0.2585
2 Pm 0.8702 0.9327 0.7415
3 Er 0.1231 0.5609 0.2466
4 Er 0.8769 0.4391 0.7534
5 Ru 0.4988 0.2556 0.9977
6 Ru 0.5012 0.7444 0.0023

V in A^3/atom: 25.81
Space-group type: P-1 (2)



Q: Which of them is the least stable? A: run 1.



Run 1
PmEr3Ru | GGA-PBE | relaxed

abc: 5.3613 5.3613 5.3613
angles: 90.00 90.00 90.00
Fractional positions:
1 Pm 0.0000 0.0000 0.0000
2 Er 0.0000 0.5000 0.5000
3 Er 0.5000 0.0000 0.5000
4 Er 0.5000 0.5000 0.0000
5 Ru 0.5000 0.5000 0.5000

V in A^3/atom: 30.82
Space-group type: Pm-3m (221)



Run 2
PmEr3Ru | GGA-PBE | relaxed

abc: 8.5946 3.7999 8.6104
angles: 90.00 101.91 90.00
Fractional positions:
1 Pm 0.0165 0.2500 0.1707
2 Pm 0.9835 0.7500 0.8293
3 Er 0.1841 0.2500 0.5802
4 Er 0.3358 0.2500 0.9711
5 Er 0.3911 0.7500 0.3371
6 Er 0.6089 0.2500 0.6629
7 Er 0.6642 0.7500 0.0289
8 Er 0.8159 0.7500 0.4198
9 Ru 0.4023 0.7500 0.7419
10 Ru 0.5977 0.2500 0.2581

V in A^3/atom: 27.51
Space-group type: P2_1/m (11)



Q: Which of them is the least stable? A: run 1.



Run 1
Pm2ErRu2 | GGA-PBE | relaxed

abc: 4.3270 6.1746 8.9478
angles: 90.00 90.00 90.00
Fractional positions:
1 Pm 0.0000 0.0000 0.1988
2 Pm 0.0000 0.0000 0.8012
3 Pm 0.5000 0.5000 0.3012
4 Pm 0.5000 0.5000 0.6988
5 Er 0.0000 0.5000 0.0000
6 Er 0.5000 0.0000 0.5000
7 Ru 0.0000 0.2819 0.5000
8 Ru 0.0000 0.7181 0.5000
9 Ru 0.5000 0.2181 0.0000
10 Ru 0.5000 0.7819 0.0000

V in A^3/atom: 23.91
Space-group type: Immm (71)



Run 2
Pm2ErRu2 | GGA-PBE | relaxed

abc: 6.1360 6.1360 9.9920
angles: 90.00 90.00 139.39
Fractional positions:
1 Pm 0.0950 0.9050 0.5000
2 Pm 0.3532 0.6468 0.6855
3 Pm 0.6468 0.3532 0.1855
4 Pm 0.9050 0.0950 0.0000
5 Er 0.3552 0.6448 0.3156
6 Er 0.6448 0.3552 0.8156
7 Ru 0.0045 0.9955 0.7528
8 Ru 0.1892 0.8108 0.9933
9 Ru 0.8108 0.1892 0.4933
10 Ru 0.9955 0.0045 0.2528

V in A^3/atom: 24.49
Space-group type: Cmc2_1 (36)



Q: Which of them is the least stable? A: run 2.



Run 1
PmEr3Ru2 | GGA-PBE | relaxed

abc: 6.6840 6.6840 3.9597
angles: 90.00 90.00 120.00
Fractional positions:
1 Pm 0.0000 0.0000 0.0000
2 Er 0.0000 0.5000 0.5000
3 Er 0.5000 0.0000 0.5000
4 Er 0.5000 0.5000 0.5000
5 Ru 0.3333 0.6667 0.0000
6 Ru 0.6667 0.3333 0.0000

V in A^3/atom: 25.53
Space-group type: P6/mmm (191)



Run 2
PmEr3Ru2 | GGA-PBE | relaxed

abc: 3.4007 3.4007 12.3245
angles: 90.00 90.00 90.00
Fractional positions:
1 Pm 0.0000 0.0000 0.0000
2 Er 0.5000 0.5000 0.2314
3 Er 0.5000 0.5000 0.5000
4 Er 0.5000 0.5000 0.7686
5 Ru 0.0000 0.0000 0.3580
6 Ru 0.0000 0.0000 0.6420

V in A^3/atom: 23.75
Space-group type: P4/mmm (123)



Q: Which of them is the least stable? A: run 1.



Run 1
PmErZnRu | GGA-PBE | relaxed

abc: 7.0152 7.0152 7.0152
angles: 90.00 90.00 90.00
Fractional positions:
1 Pm 0.0000 0.0000 0.0000
2 Pm 0.0000 0.5000 0.5000
3 Pm 0.5000 0.0000 0.5000
4 Pm 0.5000 0.5000 0.0000
5 Er 0.0000 0.0000 0.5000
6 Er 0.0000 0.5000 0.0000
7 Er 0.5000 0.0000 0.0000
8 Er 0.5000 0.5000 0.5000
9 Zn 0.2500 0.2500 0.2500
10 Zn 0.2500 0.7500 0.7500
11 Zn 0.7500 0.2500 0.7500
12 Zn 0.7500 0.7500 0.2500
13 Ru 0.2500 0.2500 0.7500
14 Ru 0.2500 0.7500 0.2500
15 Ru 0.7500 0.2500 0.2500
16 Ru 0.7500 0.7500 0.7500

V in A^3/atom: 21.58
Space-group type: F-43m (216)



Run 2
PmErZnRu | GGA-PBE | relaxed

abc: 4.3124 3.9641 10.6418
angles: 90.00 90.00 90.00
Fractional positions:
1 Pm 0.0000 0.0000 0.0000
2 Pm 0.0000 0.5000 0.5000
3 Er 0.5000 0.0000 0.2831
4 Er 0.5000 0.5000 0.7831
5 Zn 0.5000 0.0000 0.5787
6 Zn 0.5000 0.5000 0.0787
7 Ru 0.0000 0.0000 0.7225
8 Ru 0.0000 0.5000 0.2225

V in A^3/atom: 22.74
Space-group type: Amm2 (38)



Q: Which of them is the least stable? A: run 2.



Run 1
PmEr3S4 | GGA-PBE | relaxed

abc: 5.5311 5.5311 5.5311
angles: 90.00 90.00 90.00
Fractional positions:
1 Pm 0.0000 0.0000 0.0000
2 Er 0.0000 0.5000 0.5000
3 Er 0.5000 0.0000 0.5000
4 Er 0.5000 0.5000 0.0000
5 S 0.0000 0.0000 0.5000
6 S 0.0000 0.5000 0.0000
7 S 0.5000 0.0000 0.0000
8 S 0.5000 0.5000 0.5000

V in A^3/atom: 21.15
Space-group type: Pm-3m (221)



Run 2
PmEr3S4 | GGA-PBE | relaxed

abc: 7.8994 11.0585 3.8647
angles: 90.00 90.00 90.00
Fractional positions:
1 Pm 0.0000 0.0000 0.0000
2 Pm 0.5000 0.5000 0.0000
3 Er 0.0000 0.5000 0.0000
4 Er 0.2500 0.2500 0.5000
5 Er 0.2500 0.7500 0.5000
6 Er 0.5000 0.0000 0.0000
7 Er 0.7500 0.2500 0.5000
8 Er 0.7500 0.7500 0.5000
9 S 0.0000 0.2552 0.0000
10 S 0.0000 0.7448 0.0000
11 S 0.2393 0.5000 0.5000
12 S 0.2607 0.0000 0.5000
13 S 0.5000 0.2448 0.0000
14 S 0.5000 0.7552 0.0000
15 S 0.7393 0.0000 0.5000
16 S 0.7607 0.5000 0.5000

V in A^3/atom: 21.10
Space-group type: Cmmm (65)



Q: Which of them is the least stable? A: run 1.